Density functional theory data (PBE) for a relaxed Ag2RuW crystal.

Cell lengths 2.8062, 2.8062, 28.8993 Å; angles 90.00, 90.00, 120.00 degrees
Fractional coordinates of all 12 atoms:
Ag: 0.0000 0.0000 0.0000
Ag: 0.0000 0.0000 0.2457
Ag: 0.3333 0.6667 0.6667
Ag: 0.3333 0.6667 0.9124
Ag: 0.6667 0.3333 0.3333
Ag: 0.6667 0.3333 0.5790
Ru: 0.0000 0.0000 0.7525
Ru: 0.3333 0.6667 0.4192
Ru: 0.6667 0.3333 0.0859
W: 0.0000 0.0000 0.4916
W: 0.3333 0.6667 0.1582
W: 0.6667 0.3333 0.8249

Results
Energy relative to the lowest polymorph listed for this composition (eV/atom): 0.000
Density of states at the Fermi level (states/eV per cell): 3.05
SG: R3m (160)



Density functional theory data (PBE) for a relaxed AgRuW2 crystal.

Cell lengths 2.7898, 2.7898, 28.4504 Å; angles 90.00, 90.00, 120.00 degrees
Fractional coordinates of all 12 atoms:
Ag: 0.0000 0.0000 0.0000
Ag: 0.3333 0.6667 0.6667
Ag: 0.6667 0.3333 0.3333
Ru: 0.0000 0.0000 0.5000
Ru: 0.3333 0.6667 0.1667
Ru: 0.6667 0.3333 0.8333
W: 0.0000 0.0000 0.2451
W: 0.0000 0.0000 0.7549
W: 0.3333 0.6667 0.4216
W: 0.3333 0.6667 0.9118
W: 0.6667 0.3333 0.0882
W: 0.6667 0.3333 0.5784

Results
Energy relative to the lowest polymorph listed for this composition (eV/atom): 0.027
Density of states at the Fermi level (states/eV per cell): 13.04
SG: R-3m (166)



Density functional theory data (PBE) for a relaxed Ag2RuW crystal.

Cell lengths 3.0046, 4.6195, 9.5585 Å; angles 90.00, 90.00, 90.00 degrees
Fractional coordinates of all 8 atoms:
Ag: 0.0000 0.0000 0.0000
Ag: 0.0000 0.5000 0.2599
Ag: 0.5000 0.0000 0.2599
Ag: 0.5000 0.5000 0.0000
Ru: 0.0000 0.5000 0.7426
Ru: 0.5000 0.0000 0.7426
W: 0.0000 0.0000 0.5228
W: 0.5000 0.5000 0.5228

Results
Energy relative to the lowest polymorph listed for this composition (eV/atom): 0.108
Density of states at the Fermi level (states/eV per cell): 6.55
SG: Cmm2 (35)



Density functional theory data (PBE) for a relaxed AgRu2W crystal.

Cell lengths 7.0958, 7.0958, 5.5219 Å; angles 90.00, 90.00, 90.00 degrees
Fractional coordinates of all 16 atoms:
Ag: 0.0000 0.0000 0.0000
Ag: 0.0000 0.5000 0.2500
Ag: 0.5000 0.0000 0.7500
Ag: 0.5000 0.5000 0.5000
Ru: 0.2087 0.7500 0.6250
Ru: 0.2500 0.2087 0.3750
Ru: 0.2500 0.2913 0.8750
Ru: 0.2913 0.7500 0.1250
Ru: 0.7087 0.2500 0.1250
Ru: 0.7500 0.7087 0.8750
Ru: 0.7500 0.7913 0.3750
Ru: 0.7913 0.2500 0.6250
W: 0.0000 0.0000 0.5000
W: 0.0000 0.5000 0.7500
W: 0.5000 0.0000 0.2500
W: 0.5000 0.5000 0.0000

Results
Energy relative to the lowest polymorph listed for this composition (eV/atom): 0.555
Density of states at the Fermi level (states/eV per cell): 20.00
SG: I-42d (122)



Density functional theory data (PBE) for a relaxed AgRu2W crystal.

Cell lengths 4.0567, 4.0567, 3.6734 Å; angles 90.00, 90.00, 90.00 degrees
Fractional coordinates of all 4 atoms:
Ag: 0.0000 0.0000 0.0000
Ru: 0.0000 0.5000 0.5000
Ru: 0.5000 0.0000 0.5000
W: 0.5000 0.5000 0.0000

Results
Energy relative to the lowest polymorph listed for this composition (eV/atom): 0.195
Density of states at the Fermi level (states/eV per cell): 3.95
SG: P4/mmm (123)



Density functional theory data (PBE) for a relaxed AgRu2W crystal.

Cell lengths 6.2522, 6.2522, 6.2522 Å; angles 90.00, 90.00, 90.00 degrees
Fractional coordinates of all 16 atoms:
Ag: 0.0000 0.0000 0.0000
Ag: 0.0000 0.5000 0.5000
Ag: 0.5000 0.0000 0.5000
Ag: 0.5000 0.5000 0.0000
Ru: 0.2500 0.2500 0.2500
Ru: 0.2500 0.2500 0.7500
Ru: 0.2500 0.7500 0.2500
Ru: 0.2500 0.7500 0.7500
Ru: 0.7500 0.2500 0.2500
Ru: 0.7500 0.2500 0.7500
Ru: 0.7500 0.7500 0.2500
Ru: 0.7500 0.7500 0.7500
W: 0.0000 0.0000 0.5000
W: 0.0000 0.5000 0.0000
W: 0.5000 0.0000 0.0000
W: 0.5000 0.5000 0.5000

Results
Energy relative to the lowest polymorph listed for this composition (eV/atom): 0.152
Density of states at the Fermi level (states/eV per cell): 24.12
SG: Fm-3m (225)